# Tm2PaPt

Tm2PaPt after structural relaxation (PBE-GGA, the Alexandria database).

```
4
Lattice="1.6799 0.9699 10.5874 -1.6799 0.9699 10.5874 0.0000 -1.9398 10.5874" Properties=species:S:1:pos:R:3 pbc="T T T"
Tm 0.0000 0.0000 3.2651
Tm 0.0000 0.0000 28.4972
Pa 0.0000 0.0000 0.0000
Pt 0.0000 0.0000 15.8811
```

Computed properties:
- Relative energy among the computed polymorphs: 379 meV/atom
- Energy relative to the elements: -0.139 eV per atom
- Density of states at the Fermi level: 4.2 states/eV/cell
- DFT total energy: -6.26 eV/atom
- Space-group type: R-3m (166)